An optimized crystal structure of BaBe2V, computed with GGA-PBE.

Cell lengths 4.8760, 4.8760, 4.8760 Å; angles 60.00, 60.00, 60.00 degrees
Sites, in units of the cell vectors:
Ba: 0.0000 0.0000 0.0000
Be: 0.2500 0.2500 0.2500
Be: 0.7500 0.7500 0.7500
V: 0.5000 0.5000 0.5000

VASP energy: -14.3 eV/f.u.
energy above the most stable polymorph in this dataset: 236 meV per atom
E_form: 1050 meV per atom